--- A ---
DFT (PBE) results for an optimized crystal structure of OsPtCl.

a b c (Å): 7.0538 7.0538 7.0538
angles (deg): 156.16 156.16 33.97
Closest atoms and distances in Å follow each position.
Fractional coordinates of all 3 atoms:
Os1 0.0000 0.0000 0.0000  4 Pt 2.61, 4 Cl 2.70, 4 Os 2.91
Pt1 0.3814 0.3814 0.0000  4 Os 2.61, 4 Pt 2.91
Cl1 0.6295 0.6295 0.0000  4 Os 2.70, 4 Cl 2.91



--- B ---
DFT (PBE) results for an optimized crystal structure of OsPtCl.

a b c (Å): 4.1456 4.1456 4.1456
angles (deg): 60.00 60.00 60.00
Closest atoms and distances in Å follow each position.
Fractional coordinates of all 3 atoms:
Os1 0.0000 0.0000 0.0000  4 Cl 2.54
Pt1 0.5000 0.5000 0.5000  4 Cl 2.54
Cl1 0.7500 0.7500 0.7500  4 Pt 2.54, 4 Os 2.54



--- C ---
DFT (PBE) results for an optimized crystal structure of OsPtCl.

a b c (Å): 2.9147 2.9147 6.6386
angles (deg): 90.00 90.00 120.00
Closest atoms and distances in Å follow each position.
Fractional coordinates of all 3 atoms:
Os1 0.0000 0.0000 0.0000  3 Cl 2.54, 3 Pt 2.66
Pt1 0.6667 0.3333 0.3104  3 Os 2.66, 6 Pt 2.91
Cl1 0.3333 0.6667 0.7129  3 Os 2.54



--- D ---
DFT (PBE) results for an optimized crystal structure of OsPtCl.

a b c (Å): 3.7082 3.7082 5.9196
angles (deg): 90.00 90.00 120.00
Closest atoms and distances in Å follow each position.
Fractional coordinates of all 3 atoms:
Os1 0.0000 0.0000 0.0000  3 Pt 2.46, 3 Cl 2.51
Pt1 0.3333 0.6667 0.2055  3 Os 2.46
Cl1 0.6667 0.3333 0.7777  3 Os 2.51



How far above the most stable structure does each one sit? In meV/atom: A 111; B 1071; C 0; D 90.